The following is a DFT calculation (PBE-GGA) of a relaxed Mn4Bi crystal.

Summary:
Fermi-level density of states: 3.83 states/eV/f.u.
formation energy from the elements: 7.42 eV per formula unit
symmetry: Pm-3m (221)

Unit cell a=5.0463 b=5.0463 c=5.0463 alpha=90.00 beta=90.00 gamma=90.00
Closest atoms and distances in Å follow each position.
Element x y z (fractional)
Mn 0.0000 0.0000 0.0000  12 Mn 3.57
Mn 0.5000 0.0000 0.5000  2 Bi 2.52
Mn 0.0000 0.5000 0.5000  2 Bi 2.52
Mn 0.5000 0.5000 0.0000  2 Bi 2.52
Bi 0.5000 0.5000 0.5000  6 Mn 2.52

The following is a DFT calculation (PBE-GGA) of a relaxed BP2C crystal.

Summary:
Fermi-level density of states: 0.82 states/eV/f.u.
distance to the lowest polymorph of the same formula: 139 meV/atom
formation energy from the elements: 1.28 eV per formula unit
symmetry: P1 (1)

Unit cell a=3.0342 b=4.0176 c=4.0718 alpha=80.33 beta=74.02 gamma=74.42
Closest atoms and distances in Å follow each position.
Element x y z (fractional)
P 0.9562 0.7333 0.6006  2 C 1.88-1.92, 1 B 1.99
P 0.4437 0.3322 0.2169  1 C 1.89, 2 B 1.92-1.94
C 0.3382 0.0255 0.6199  1 B 1.67
B 0.0693 0.3021 0.9182  1 C 1.67

The following is a DFT calculation (PBE-GGA) of a relaxed Pm2YHo9 crystal.

Summary:
Fermi-level density of states: 24.15 states/eV/f.u.
distance to the lowest polymorph of the same formula: 62 meV/atom
formation energy from the elements: 1.49 eV per formula unit
symmetry: P4/mmm (123)

Unit cell a=5.8928 b=5.8928 c=11.0183 alpha=90.00 beta=90.00 gamma=90.00
Closest atoms and distances in Å follow each position.
Element x y z (fractional)
Pm 0.0000 0.0000 0.3346  8 Ho 3.46-3.49, 1 Pm 3.65, 1 Y 3.69
Pm 0.0000 0.0000 0.6654  8 Ho 3.46-3.49, 1 Pm 3.65, 1 Y 3.69
Y 0.0000 0.0000 0.0000  8 Ho 3.46, 2 Pm 3.69
Ho 0.5000 0.5000 0.0000  10 Ho 3.46-3.69
Ho 0.5000 0.5000 0.3345  10 Ho 3.46-3.69
Ho 0.5000 0.5000 0.6655  10 Ho 3.46-3.69
Ho 0.5000 0.0000 0.1651  6 Ho 3.46-3.69, 2 Y 3.46, 2 Pm 3.49
Ho 0.5000 0.0000 0.5000  4 Pm 3.46, 6 Ho 3.46-3.69
Ho 0.5000 0.0000 0.8349  6 Ho 3.46-3.69, 2 Y 3.46, 2 Pm 3.49
Ho 0.0000 0.5000 0.1651  6 Ho 3.46-3.69, 2 Y 3.46, 2 Pm 3.49
Ho 0.0000 0.5000 0.5000  4 Pm 3.46, 6 Ho 3.46-3.69
Ho 0.0000 0.5000 0.8349  6 Ho 3.46-3.69, 2 Y 3.46, 2 Pm 3.49

The following is a DFT calculation (PBE-GGA) of a relaxed AcBRh crystal.

Summary:
Fermi-level density of states: 2.40 states/eV/f.u.
distance to the lowest polymorph of the same formula: 647 meV/atom
formation energy from the elements: 0.41 eV per formula unit
symmetry: I4mm (107)

Unit cell a=3.2205 b=3.2205 c=5.6841 alpha=106.46 beta=106.46 gamma=90.00
Closest atoms and distances in Å follow each position.
Element x y z (fractional)
Ac 0.0073 0.0073 0.0146  1 Rh 2.83, 5 B 3.06-3.13
B 0.7136 0.7136 0.4273  4 Rh 2.38
Rh 0.2791 0.2791 0.5582  4 B 2.38

The following is a DFT calculation (PBE-GGA) of a relaxed HfMg crystal.

Summary:
Fermi-level density of states: 0.95 states/eV/f.u.
formation energy from the elements: 0.06 eV per formula unit
symmetry: P-3m1 (164)

Unit cell a=3.1950 b=3.1950 c=10.2925 alpha=90.00 beta=90.00 gamma=120.00
Closest atoms and distances in Å follow each position.
Element x y z (fractional)
Hf 0.3333 0.6667 0.8827  9 Hf 3.04-3.20, 3 Mg 3.22
Hf 0.6667 0.3333 0.1173  9 Hf 3.04-3.20, 3 Mg 3.22
Mg 0.3333 0.6667 0.3734  9 Mg 3.19-3.20, 3 Hf 3.22
Mg 0.6667 0.3333 0.6266  9 Mg 3.19-3.20, 3 Hf 3.22

The following is a DFT calculation (PBE-GGA) of a relaxed Be3HgBr crystal.

Summary:
Fermi-level density of states: 5.87 states/eV/f.u.
distance to the lowest polymorph of the same formula: 0 meV/atom
uncorrected formation energy: 0.819 eV per atom
symmetry: Pm-3m (221)

Unit cell a=4.6208 b=4.6208 c=4.6208 alpha=90.00 beta=90.00 gamma=90.00
Closest atoms and distances in Å follow each position.
Element x y z (fractional)
Be 0.0000 0.5000 0.0000  2 Hg 2.31
Be 0.0000 0.0000 0.5000  2 Hg 2.31
Be 0.5000 0.0000 0.0000  2 Hg 2.31
Hg 0.0000 0.0000 0.0000  6 Be 2.31
Br 0.5000 0.5000 0.5000  12 Be 3.27

The following is a DFT calculation (PBE-GGA) of a relaxed TiGaIrPt crystal.

Summary:
Fermi-level density of states: 0.89 states/eV/f.u.
formation energy from the elements: -3.26 eV per formula unit
symmetry: I-4m2 (119)

Unit cell a=4.0046 b=4.0048 c=4.6741 alpha=115.36 beta=115.36 gamma=90.00
Closest atoms and distances in Å follow each position.
Element x y z (fractional)
Ti 0.0000 0.0000 0.0000  4 Ir 2.73, 4 Pt 2.73, 4 Ga 2.83
Ga 0.5000 0.5000 0.0000  4 Pt 2.73, 4 Ir 2.73, 4 Ti 2.83
Ir 0.2500 0.7500 0.5000  4 Ti 2.73, 4 Ga 2.73, 4 Pt 2.83
Pt 0.7500 0.2500 0.5000  4 Ti 2.73, 4 Ga 2.73, 4 Ir 2.83

The following is a DFT calculation (PBE-GGA) of a relaxed Pm2Si2Ni15 crystal.

Summary:
Fermi-level density of states: 25.76 states/eV/f.u.
uncorrected formation energy: -0.253 eV per atom
symmetry: R-3m (166)

Unit cell a=6.3121 b=6.3121 c=6.3121 alpha=82.53 beta=82.53 gamma=82.53
Closest atoms and distances in Å follow each position.
Element x y z (fractional)
Pm 0.3477 0.3477 0.3477  18 Ni 2.97-3.27, 1 Si 3.03
Pm 0.6523 0.6523 0.6523  18 Ni 2.97-3.27, 1 Si 3.03
Si 0.1006 0.1006 0.1006  1 Si 2.47, 12 Ni 2.53-2.73
Si 0.8994 0.8994 0.8994  1 Si 2.47, 12 Ni 2.53-2.73
Ni 0.5000 0.0000 0.0000  8 Ni 2.38-2.40, 2 Si 2.54
Ni 0.0000 0.0000 0.5000  8 Ni 2.38-2.40, 2 Si 2.54
Ni 0.0000 0.5000 0.0000  8 Ni 2.38-2.40, 2 Si 2.54
Ni 0.0000 0.7075 0.2925  8 Ni 2.40-2.58
Ni 0.7075 0.2925 0.0000  8 Ni 2.40-2.58
Ni 0.2925 0.0000 0.7075  8 Ni 2.40-2.58
Ni 0.2925 0.7075 0.0000  8 Ni 2.40-2.58
Ni 0.7075 0.0000 0.2925  8 Ni 2.40-2.58
Ni 0.0000 0.2925 0.7075  8 Ni 2.40-2.58
Ni 0.1476 0.6596 0.6596  8 Ni 2.38-2.58, 1 Si 2.53
Ni 0.6596 0.6596 0.1476  8 Ni 2.38-2.58, 1 Si 2.53
Ni 0.6596 0.1476 0.6596  8 Ni 2.38-2.58, 1 Si 2.53
Ni 0.8524 0.3404 0.3404  8 Ni 2.38-2.58, 1 Si 2.53
Ni 0.3404 0.3404 0.8524  8 Ni 2.38-2.58, 1 Si 2.53
Ni 0.3404 0.8524 0.3404  8 Ni 2.38-2.58, 1 Si 2.53

The following is a DFT calculation (PBE-GGA) of a relaxed RbCuBr2 crystal.

Summary:
distance to the lowest polymorph of the same formula: 104 meV/atom
uncorrected formation energy: -0.980 eV per atom
symmetry: Pna2_1 (33)

Unit cell a=6.7788 b=7.4294 c=10.5930 alpha=90.00 beta=90.00 gamma=90.00
Closest atoms and distances in Å follow each position.
Element x y z (fractional)
Rb 0.9853 0.8477 0.3714  6 Br 3.45-3.61, 1 Cu 3.64
Rb 0.4853 0.1523 0.6286  6 Br 3.45-3.61, 1 Cu 3.64
Rb 0.4853 0.6523 0.8714  6 Br 3.45-3.61, 1 Cu 3.64
Rb 0.9853 0.3477 0.1286  6 Br 3.45-3.61, 1 Cu 3.64
Cu 0.9986 0.0319 0.8659  4 Br 2.44-2.55
Cu 0.4986 0.9681 0.1341  4 Br 2.44-2.55
Cu 0.4986 0.4681 0.3659  4 Br 2.44-2.55
Cu 0.9986 0.5319 0.6341  4 Br 2.44-2.55
Br 0.1096 0.3510 0.8129  2 Cu 2.44-2.55
Br 0.6096 0.6490 0.1871  2 Cu 2.44-2.55
Br 0.6096 0.1490 0.3129  2 Cu 2.44-2.55
Br 0.1096 0.8510 0.6871  2 Cu 2.44-2.55
Br 0.6563 0.0862 0.9324  2 Cu 2.46-2.55
Br 0.1563 0.9138 0.0676  2 Cu 2.46-2.55
Br 0.1563 0.4138 0.4324  2 Cu 2.46-2.55
Br 0.6563 0.5862 0.5676  2 Cu 2.46-2.55

The following is a DFT calculation (PBE-GGA) of a relaxed Tb8TcRh2 crystal.

Summary:
Fermi-level density of states: 9.25 states/eV/f.u.
formation energy from the elements: -3.09 eV per formula unit
symmetry: Cm (8)

Unit cell a=5.8830 b=7.6165 c=7.6165 alpha=114.38 beta=100.62 gamma=100.62
Closest atoms and distances in Å follow each position.
Element x y z (fractional)
Tb 0.5823 0.3340 0.0832  2 Rh 2.80-2.81
Tb 0.5823 0.0832 0.3340  2 Rh 2.80-2.81
Tb 0.1769 0.3635 0.3635  1 Tc 2.81, 2 Rh 3.09
Tb 0.9908 0.2083 0.7842  1 Tc 2.77
Tb 0.9908 0.7842 0.2083  1 Tc 2.77
Tb 0.8116 0.6465 0.6465  1 Tc 2.87, 2 Rh 3.06
Tb 0.3879 0.9219 0.6692  2 Rh 2.80-2.85
Tb 0.3879 0.6692 0.9219  2 Rh 2.80-2.85
Tc 0.0924 0.0071 0.0071  4 Tb 2.77-2.87
Rh 0.4984 0.7006 0.3154  6 Tb 2.80-3.09
Rh 0.4984 0.3154 0.7006  6 Tb 2.80-3.09

The following is a DFT calculation (PBE-GGA) of a relaxed TiAgS3 crystal.

Summary:
Fermi-level density of states: 1.79 states/eV/f.u.
uncorrected formation energy: -0.605 eV per atom
symmetry: Pnma (62)

Unit cell a=5.9786 b=5.8563 c=11.7863 alpha=90.00 beta=90.00 gamma=90.00
Closest atoms and distances in Å follow each position.
Element x y z (fractional)
Ti 0.4187 0.5590 0.7500  6 S 2.36-2.50
Ti 0.0813 0.0590 0.2500  6 S 2.36-2.50
Ti 0.5813 0.4410 0.2500  6 S 2.36-2.50
Ti 0.9187 0.9410 0.7500  6 S 2.36-2.50
Ag 0.0000 0.5000 0.0000  4 S 2.48-2.54
Ag 0.5000 0.0000 0.5000  4 S 2.48-2.54
Ag 0.5000 0.0000 0.0000  4 S 2.48-2.54
Ag 0.0000 0.5000 0.5000  4 S 2.48-2.54
S 0.7990 0.2084 0.1128  2 Ag 2.48-2.54, 2 Ti 2.48-2.50
S 0.7010 0.7084 0.6128  2 Ag 2.48-2.54, 2 Ti 2.48-2.50
S 0.7010 0.7084 0.8872  2 Ag 2.48-2.54, 2 Ti 2.48-2.50
S 0.2010 0.7916 0.6128  2 Ag 2.48-2.54, 2 Ti 2.48-2.50
S 0.2010 0.7916 0.8872  2 Ag 2.48-2.54, 2 Ti 2.48-2.50
S 0.2990 0.2916 0.3872  2 Ag 2.48-2.54, 2 Ti 2.48-2.50
S 0.2990 0.2916 0.1128  2 Ag 2.48-2.54, 2 Ti 2.48-2.50
S 0.7990 0.2084 0.3872  2 Ag 2.48-2.54, 2 Ti 2.48-2.50
S 0.6384 0.2249 0.7500  2 Ti 2.36
S 0.8616 0.7249 0.2500  2 Ti 2.36
S 0.3616 0.7751 0.2500  2 Ti 2.36
S 0.1384 0.2751 0.7500  2 Ti 2.36

The following is a DFT calculation (PBE-GGA) of a relaxed TeRu3W crystal.

Summary:
Fermi-level density of states: 6.43 states/eV/f.u.
distance to the lowest polymorph of the same formula: 559 meV/atom
uncorrected formation energy: 2.044 eV per atom
symmetry: Pm-3m (221)

Unit cell a=4.7074 b=4.7074 c=4.7074 alpha=90.00 beta=90.00 gamma=90.00
Closest atoms and distances in Å follow each position.
Element x y z (fractional)
Ru 0.0000 0.5000 0.0000  2 Te 2.35
Ru 0.0000 0.0000 0.5000  2 Te 2.35
Ru 0.5000 0.0000 0.0000  2 Te 2.35
Te 0.0000 0.0000 0.0000  6 Ru 2.35
W 0.5000 0.5000 0.5000  12 Ru 3.33

The following is a DFT calculation (PBE-GGA) of a relaxed PmEr3Sc6 crystal.

Summary:
Fermi-level density of states: 14.30 states/eV/f.u.
distance to the lowest polymorph of the same formula: 0 meV/atom
formation energy from the elements: 1.56 eV per formula unit
symmetry: Cmc2_1 (36)

Unit cell a=5.8572 b=10.3560 c=10.3560 alpha=119.34 beta=90.00 gamma=90.00
Closest atoms and distances in Å follow each position.
Element x y z (fractional)
Pm 0.1731 0.2125 0.7875  6 Sc 3.05-3.26, 3 Er 3.19-3.36
Pm 0.6731 0.7875 0.2125  6 Sc 3.05-3.26, 3 Er 3.19-3.36
Er 0.4679 0.9267 0.7183  6 Sc 3.11-3.42, 1 Pm 3.19, 1 Er 3.42
Er 0.9679 0.7183 0.9267  6 Sc 3.11-3.42, 1 Pm 3.19, 1 Er 3.42
Er 0.0643 0.3969 0.6031  5 Sc 3.14-3.32, 1 Pm 3.36, 2 Er 3.42
Er 0.5643 0.6031 0.3969  5 Sc 3.14-3.32, 1 Pm 3.36, 2 Er 3.42
Er 0.9679 0.0733 0.2817  6 Sc 3.11-3.42, 1 Pm 3.19, 1 Er 3.42
Er 0.4679 0.2817 0.0733  6 Sc 3.11-3.42, 1 Pm 3.19, 1 Er 3.42
Sc 0.0151 0.7223 0.6156  6 Sc 3.19-3.54, 4 Er 3.23-3.32
Sc 0.5151 0.6156 0.7223  6 Sc 3.19-3.54, 4 Er 3.23-3.32
Sc 0.3611 0.5469 0.9781  2 Pm 3.08-3.23, 2 Er 3.11-3.40, 5 Sc 3.14-3.19
Sc 0.8611 0.9781 0.5469  2 Pm 3.08-3.23, 2 Er 3.11-3.40, 5 Sc 3.14-3.19
Sc 0.4273 0.9512 0.0488  1 Pm 3.26, 4 Er 3.31-3.42, 4 Sc 3.41-3.50
Sc 0.6326 0.2931 0.7069  1 Pm 3.05, 1 Er 3.14, 6 Sc 3.14-3.34
Sc 0.1326 0.7069 0.2931  1 Pm 3.05, 1 Er 3.14, 6 Sc 3.14-3.34
Sc 0.9273 0.0488 0.9512  1 Pm 3.26, 4 Er 3.31-3.42, 4 Sc 3.41-3.50
Sc 0.3611 0.0219 0.4531  2 Pm 3.08-3.23, 2 Er 3.11-3.40, 5 Sc 3.14-3.19
Sc 0.8611 0.4531 0.0219  2 Pm 3.08-3.23, 2 Er 3.11-3.40, 5 Sc 3.14-3.19
Sc 0.0151 0.3844 0.2777  6 Sc 3.19-3.54, 4 Er 3.23-3.32
Sc 0.5151 0.2777 0.3844  6 Sc 3.19-3.54, 4 Er 3.23-3.32

Number 1: E -6.63 eV per atom. Number 2: E -6.36 eV per atom. Number 3: E -4.64 eV per atom. Number 4: E -5.91 eV per atom. Number 5: E -5.75 eV per atom. Number 6: E -1.81 eV per atom. Number 7: E -7.27 eV per atom. Number 8: E -5.89 eV per atom. Number 9: E -3.08 eV per atom. Number 10: E -5.93 eV per atom. Number 11: E -5.23 eV per atom. Number 12: E -6.74 eV per atom. Number 13: E -5.49 eV per atom.